CsVO3 (PBE+U, optimized geometry); spin magnetization = 0.14 μB/cell; space-group type = No. 57; DOS(E_F) = 0.000 states/eV/atom; energy = -6.6412 eV/atom
1.0
-0.253 -4.889 -2.799
3.280 2.297 -4.309
10.403 -3.886 5.848
O V Cs
12 4 4
Direct
0.158 0.750 0.650
0.541 0.000 0.750
0.842 0.250 0.350
0.597 0.250 0.944
0.597 0.750 0.556
0.842 0.750 0.150
0.403 0.750 0.056
0.158 0.250 0.850
0.459 0.500 0.250
0.541 0.500 0.750
0.459 0.000 0.250
0.403 0.250 0.444
0.452 0.250 0.828
0.452 0.750 0.672
0.548 0.750 0.172
0.548 0.250 0.328
0.091 0.250 0.099
0.091 0.750 0.401
0.909 0.750 0.901
0.909 0.250 0.599